Entry 1:
Here is a relaxed NaPPbS2 crystal from Alexandria. Energies are from PBE-GGA.

Summary:
The density of states at the Fermi level comes out at 4.4 states/eV per cell. The value obtained for the electronic total energy is -16.7 eV per cell. The volume is 156.9 Å³ per cell.

```
data_NaPPbS2
_cell_length_a 5.431
_cell_length_b 5.431
_cell_length_c 5.321
_cell_angle_alpha 90.00
_cell_angle_beta 90.00
_cell_angle_gamma 90.00
_symmetry_space_group_name_H-M 'P 4/m m m'
_symmetry_Int_Tables_number 123
_symmetry_space_group_name_Hall '-P 4 2'
loop_
_atom_site_label
_atom_site_type_symbol
_atom_site_fract_x
_atom_site_fract_y
_atom_site_fract_z
Na1 Na 0.000 0.000 0.000
P1 P 0.500 0.500 0.000
Pb1 Pb 0.500 0.500 0.500
S1 S 0.000 0.500 0.500
```

---

Entry 2:
Here is a relaxed NaPPbS2 crystal from Alexandria. Energies are from PBE-GGA.

Summary:
The density of states at the Fermi level comes out at 2.2 states/eV per cell. The value obtained for the electronic total energy is -18.0 eV per cell. The volume is 124.0 Å³ per cell.

```
data_NaPPbS2
_cell_length_a 4.859
_cell_length_b 4.859
_cell_length_c 5.251
_cell_angle_alpha 90.00
_cell_angle_beta 90.00
_cell_angle_gamma 90.00
_symmetry_space_group_name_H-M 'P 4/m m m'
_symmetry_Int_Tables_number 123
_symmetry_space_group_name_Hall '-P 4 2'
loop_
_atom_site_label
_atom_site_type_symbol
_atom_site_fract_x
_atom_site_fract_y
_atom_site_fract_z
Na1 Na 0.000 0.000 0.000
P1 P 0.500 0.500 0.500
Pb1 Pb 0.500 0.500 0.000
S1 S 0.000 0.500 0.500
```

---

> Number 1 is which compound?

NaPPbS2

---

> The lowest electronic total energy belongs to which entry?

number 2

---

> volume of number 2 (NaPPbS2)?

124.0 Å³ per cell

---

> Look up the volume of the second one.

124.0 Å³ per cell